[1]
## Hf4Si6Os7 (PBE-GGA)

Data for an optimized crystal structure of Hf4Si6Os7.

a = 6.9734 Å, b = 6.9734 Å, c = 6.9734 Å
α = 109.47°, β = 109.47°, γ = 109.47°
Positions (direct):
Hf 0.0000 0.0000 0.5000
Hf 0.0000 0.5000 0.0000
Hf 0.5000 0.0000 0.0000
Hf 0.5000 0.5000 0.5000
Si 0.0000 0.3083 0.3083
Si 0.0000 0.6917 0.6917
Si 0.3083 0.0000 0.3083
Si 0.3083 0.3083 0.0000
Si 0.6917 0.0000 0.6917
Si 0.6917 0.6917 0.0000
Os 0.0000 0.0000 0.0000
Os 0.2500 0.5000 0.7500
Os 0.2500 0.7500 0.5000
Os 0.5000 0.2500 0.7500
Os 0.5000 0.7500 0.2500
Os 0.7500 0.2500 0.5000
Os 0.7500 0.5000 0.2500

Calculated values
total moment: 0.0 μB per formula unit
symmetry: Im-3m, No. 229
uncorrected formation energy: -0.676 eV/atom

[2]
## Na3Cd4In7 (PBE-GGA)

Data for an optimized crystal structure of Na3Cd4In7.

a = 9.1435 Å, b = 9.1435 Å, c = 10.9513 Å
α = 124.96°, β = 124.96°, γ = 31.18°
Positions (direct):
Na 0.0000 0.0000 0.0000
Na 0.2951 0.2951 0.2895
Na 0.7049 0.7049 0.7105
Cd 0.1324 0.1324 0.8446
Cd 0.3494 0.3494 0.7325
Cd 0.6506 0.6506 0.2675
Cd 0.8676 0.8676 0.1554
In 0.0000 0.0000 0.5000
In 0.1538 0.1538 0.4334
In 0.3389 0.3389 0.9835
In 0.4955 0.4955 0.6764
In 0.5045 0.5045 0.3236
In 0.6611 0.6611 0.0165
In 0.8462 0.8462 0.5666

Calculated values
total moment: 0.0 μB per formula unit
symmetry: C2/m, No. 12
formation energy from the elements: -0.06 eV/atom

[3]
## SmGdCo17 (PBE-GGA)

Data for an optimized crystal structure of SmGdCo17.

a = 6.2856 Å, b = 6.2856 Å, c = 6.2856 Å
α = 83.06°, β = 83.06°, γ = 83.06°
Positions (direct):
Sm 0.0000 0.0000 0.0000
Gd 0.6889 0.6889 0.6889
Co 0.9997 0.9997 0.4947
Co 0.9997 0.4947 0.9997
Co 0.0576 0.3450 0.6315
Co 0.0576 0.6315 0.3450
Co 0.1960 0.6889 0.6889
Co 0.2487 0.2487 0.2487
Co 0.3450 0.0576 0.6315
Co 0.3446 0.3446 0.8450
Co 0.3450 0.6315 0.0576
Co 0.3446 0.8450 0.3446
Co 0.4413 0.4413 0.4413
Co 0.4947 0.9997 0.9997
Co 0.6315 0.0576 0.3450
Co 0.6315 0.3450 0.0576
Co 0.6889 0.1960 0.6889
Co 0.6889 0.6889 0.1960
Co 0.8450 0.3446 0.3446

Calculated values
total moment: 32.1 μB per formula unit
symmetry: R3m, No. 160
formation energy from the elements: -0.07 eV/atom

[4]
## Tb4NdIn2 (PBE-GGA)

Data for an optimized crystal structure of Tb4NdIn2.

a = 6.4011 Å, b = 10.8988 Å, c = 6.8199 Å
α = 90.00°, β = 113.17°, γ = 90.00°
Positions (direct):
Tb 0.0032 0.1680 0.0000
Tb 0.0032 0.3320 0.5000
Tb 0.4963 0.7207 0.9991
Tb 0.4963 0.7793 0.4991
Tb 0.5037 0.2207 0.5009
Tb 0.5037 0.2793 0.0009
Tb 0.9968 0.6680 0.5000
Tb 0.9968 0.8320 0.0000
Nd 0.0000 0.0000 0.5000
Nd 0.0000 0.5000 0.0000
In 0.4483 0.5007 0.6888
In 0.4483 0.9993 0.1888
In 0.5517 0.0007 0.8112
In 0.5517 0.4993 0.3112

Calculated values
total moment: 0.0 μB per formula unit
symmetry: P2_1/c, No. 14
formation energy from the elements: -0.14 eV/atom
energy above the most stable polymorph in this dataset: 0.19 eV per formula unit

[5]
## Mn5Fe2SiW2 (PBE-GGA)

Data for an optimized crystal structure of Mn5Fe2SiW2.

a = 8.0423 Å, b = 8.0423 Å, c = 3.7786 Å
α = 90.00°, β = 90.00°, γ = 90.00°
Positions (direct):
Mn 0.0000 0.5000 0.0000
Mn 0.0697 0.1940 0.0000
Mn 0.1940 0.9303 0.0000
Mn 0.3060 0.4303 0.0000
Mn 0.4303 0.6940 0.0000
Mn 0.5000 0.0000 0.0000
Mn 0.5697 0.3060 0.0000
Mn 0.6940 0.5697 0.0000
Mn 0.8060 0.0697 0.0000
Mn 0.9303 0.8060 0.0000
Fe 0.1350 0.3650 0.5000
Fe 0.3650 0.8650 0.5000
Fe 0.6350 0.1350 0.5000
Fe 0.8650 0.6350 0.5000
Si 0.0000 0.0000 0.5000
Si 0.5000 0.5000 0.5000
W 0.1608 0.6608 0.5000
W 0.3392 0.1608 0.5000
W 0.6608 0.8392 0.5000
W 0.8392 0.3392 0.5000

Calculated values
total moment: 0.6 μB per formula unit
symmetry: P4/mbm, No. 127
uncorrected formation energy: 0.122 eV/atom

[6]
## TaTeRhN2 (PBE-GGA)

Data for an optimized crystal structure of TaTeRhN2.

a = 3.9156 Å, b = 3.9156 Å, c = 5.4838 Å
α = 90.00°, β = 90.00°, γ = 90.00°
Positions (direct):
Ta 0.0000 0.0000 0.0000
Te 0.5000 0.5000 0.0000
Rh 0.5000 0.5000 0.5000
N 0.0000 0.5000 0.5000
N 0.5000 0.0000 0.5000

Calculated values
total moment: 0.0 μB per formula unit
symmetry: P4/mmm, No. 123
uncorrected formation energy: 1.511 eV/atom
energy above the most stable polymorph in this dataset: 5.02 eV per formula unit

[7]
## Gd2AgSn (PBE-GGA)

Data for an optimized crystal structure of Gd2AgSn.

a = 5.0921 Å, b = 5.0921 Å, c = 4.0287 Å
α = 90.00°, β = 90.00°, γ = 90.00°
Positions (direct):
Gd 0.0000 0.5000 0.0000
Gd 0.5000 0.0000 0.0000
Ag 0.0000 0.0000 0.5000
Sn 0.5000 0.5000 0.5000

Calculated values
total moment: 14.7 μB per formula unit
symmetry: P4/mmm, No. 123
formation energy from the elements: -0.53 eV/atom

[8]
## Na3AgGe (PBE-GGA)

Data for an optimized crystal structure of Na3AgGe.

a = 5.4211 Å, b = 5.4211 Å, c = 5.4211 Å
α = 90.00°, β = 90.00°, γ = 90.00°
Positions (direct):
Na 0.0000 0.0000 0.5000
Na 0.0000 0.5000 0.0000
Na 0.5000 0.0000 0.0000
Ag 0.0000 0.0000 0.0000
Ge 0.5000 0.5000 0.5000

Calculated values
total moment: 0.0 μB per formula unit
symmetry: Pm-3m, No. 221
formation energy from the elements: 0.39 eV/atom
energy above the most stable polymorph in this dataset: 1.99 eV per formula unit

[9]
## Sb8Pb9S21 (PBE-GGA)

Data for an optimized crystal structure of Sb8Pb9S21.

a = 9.1430 Å, b = 9.1430 Å, c = 25.9019 Å
α = 100.34°, β = 100.34°, γ = 81.44°
Positions (direct):
Sb 0.1126 0.4517 0.1246
Sb 0.1590 0.8232 0.5219
Sb 0.1768 0.8410 0.9781
Sb 0.1855 0.7158 0.8150
Sb 0.2842 0.8145 0.6850
Sb 0.4264 0.5317 0.4211
Sb 0.4517 0.1126 0.6246
Sb 0.4683 0.5736 0.0789
Sb 0.5317 0.4264 0.9211
Sb 0.5483 0.8874 0.3754
Sb 0.5736 0.4683 0.5789
Sb 0.7158 0.1855 0.3150
Sb 0.8145 0.2842 0.1850
Sb 0.8232 0.1590 0.0219
Sb 0.8410 0.1768 0.4781
Sb 0.8874 0.5483 0.8754
Pb 0.0345 0.4920 0.5859
Pb 0.0961 0.8695 0.3648
Pb 0.1305 0.9039 0.1352
Pb 0.1908 0.3028 0.9781
Pb 0.2142 0.2439 0.8107
Pb 0.2439 0.2142 0.3107
Pb 0.3028 0.1908 0.4781
Pb 0.4633 0.5367 0.2500
Pb 0.4920 0.0345 0.0859
Pb 0.5080 0.9655 0.9141
Pb 0.5367 0.4633 0.7500
Pb 0.6972 0.8092 0.5219
Pb 0.7561 0.7858 0.6893
Pb 0.7858 0.7561 0.1893
Pb 0.8092 0.6972 0.0219
Pb 0.8695 0.0961 0.8648
Pb 0.9039 0.1305 0.6352
Pb 0.9655 0.5080 0.4141
S 0.0652 0.1909 0.3995
S 0.0695 0.1616 0.5457
S 0.0918 0.2684 0.1847
S 0.0996 0.9004 0.7500
S 0.1071 0.6682 0.1940
S 0.1323 0.6743 0.0440
S 0.1616 0.0695 0.0457
S 0.1909 0.0652 0.8995
S 0.2009 0.5355 0.5011
S 0.2077 0.5428 0.3513
S 0.2235 0.4901 0.7491
S 0.2443 0.4844 0.8999
S 0.2684 0.0918 0.6847
S 0.3257 0.8677 0.4560
S 0.3318 0.8929 0.3060
S 0.3926 0.3981 0.6349
S 0.3981 0.3926 0.1349
S 0.4572 0.7923 0.1487
S 0.4645 0.7991 0.9989
S 0.4844 0.2443 0.3999
S 0.4901 0.2235 0.2491
S 0.5099 0.7765 0.7509
S 0.5156 0.7557 0.6001
S 0.5355 0.2009 0.0011
S 0.5428 0.2077 0.8513
S 0.6019 0.6074 0.8651
S 0.6074 0.6019 0.3651
S 0.6682 0.1071 0.6940
S 0.6743 0.1323 0.5440
S 0.7316 0.9082 0.3153
S 0.7557 0.5156 0.1001
S 0.7765 0.5099 0.2509
S 0.7923 0.4572 0.6487
S 0.7991 0.4645 0.4989
S 0.8091 0.9348 0.1005
S 0.8384 0.9305 0.9543
S 0.8677 0.3257 0.9560
S 0.8929 0.3318 0.8060
S 0.9004 0.0996 0.2500
S 0.9082 0.7316 0.8153
S 0.9305 0.8384 0.4543
S 0.9348 0.8091 0.6005

Calculated values
total moment: 0.0 μB per formula unit
symmetry: C2/c, No. 15
uncorrected formation energy: -0.389 eV/atom

[10]
## ZnP2RuS (PBE-GGA)

Data for an optimized crystal structure of ZnP2RuS.

a = 4.4152 Å, b = 4.4152 Å, c = 5.2796 Å
α = 90.00°, β = 90.00°, γ = 90.00°
Positions (direct):
Zn 0.0000 0.0000 0.0000
P 0.0000 0.5000 0.5000
P 0.5000 0.0000 0.5000
Ru 0.5000 0.5000 0.5000
S 0.5000 0.5000 0.0000

Calculated values
total moment: 0.0 μB per formula unit
symmetry: P4/mmm, No. 123
uncorrected formation energy: 0.524 eV/atom
energy above the most stable polymorph in this dataset: 0.00 eV per formula unit

[11]
## Ho2ScRh (PBE-GGA)

Data for an optimized crystal structure of Ho2ScRh.

a = 3.3803 Å, b = 3.4120 Å, c = 8.3282 Å
α = 90.00°, β = 90.00°, γ = 90.00°
Positions (direct):
Ho 0.0000 0.0000 0.0000
Ho 0.5000 0.5000 0.3235
Sc 0.0000 0.0000 0.6201
Rh 0.5000 0.5000 0.7923

Calculated values
total moment: 0.0 μB per formula unit
symmetry: Pmm2, No. 25
formation energy from the elements: -0.43 eV/atom
energy above the most stable polymorph in this dataset: 0.28 eV per formula unit

[12]
## AcTbTl2S4 (PBE-GGA)

Data for an optimized crystal structure of AcTbTl2S4.

a = 7.3630 Å, b = 4.2407 Å, c = 7.8706 Å
α = 90.00°, β = 108.07°, γ = 90.00°
Positions (direct):
Ac 0.0000 0.0000 0.0000
Tb 0.5000 0.5000 0.0000
Tl 0.0000 0.5000 0.5000
Tl 0.5000 0.0000 0.5000
S 0.2540 0.5000 0.2072
S 0.2822 0.0000 0.7993
S 0.7178 0.0000 0.2007
S 0.7460 0.5000 0.7928

Calculated values
total moment: 0.0 μB per formula unit
symmetry: P2/m, No. 10
uncorrected formation energy: -1.475 eV/atom